Entry 1:
The following is a DFT calculation (PBE-GGA) of crystalline Pm4TlRu at its relaxed geometry.

Results
**Crystal system**: monoclinic
**Total moment**: 0.00 μB/atom
**N(E_F)**: 1.121 states/eV per atom
**Uncorrected energy**: -0.3954 Ry/atom

CIF file:
```
data_Pm4TlRu
_chemical_formula_sum 'Pm16 Tl4 Ru4'
_cell_length_a 8.9163
_cell_length_b 13.1847
_cell_length_c 6.3585
_cell_angle_alpha 90.00
_cell_angle_beta 106.93
_cell_angle_gamma 90.00
_symmetry_space_group_name_H-M 'C 1 2/c 1'
_symmetry_Int_Tables_number 15
_symmetry_space_group_name_Hall '-C 2yc'
loop_
_atom_site_label
_atom_site_type_symbol
_atom_site_fract_x
_atom_site_fract_y
_atom_site_fract_z
Pm1 Pm 0.1097 0.1672 0.0457
Pm2 Pm 0.2172 0.4194 0.3999
Tl1 Tl 0.0000 0.3770 0.7500
Ru1 Ru 0.0000 0.0000 0.2500
```

=====

Entry 2:
The following is a DFT calculation (PBE-GGA) of crystalline Pm6TlRu2 at its relaxed geometry.

Results
**Crystal system**: monoclinic
**Total moment**: 0.00 μB/atom
**N(E_F)**: 0.825 states/eV per atom
**Uncorrected energy**: -0.4186 Ry/atom

CIF file:
```
data_Pm6TlRu2
_chemical_formula_sum 'Pm12 Tl2 Ru4'
_cell_length_a 10.4368
_cell_length_b 5.1570
_cell_length_c 9.4349
_cell_angle_alpha 90.00
_cell_angle_beta 102.36
_cell_angle_gamma 90.00
_symmetry_space_group_name_H-M 'C 1 2/m 1'
_symmetry_Int_Tables_number 12
_symmetry_space_group_name_Hall '-C 2y'
loop_
_atom_site_label
_atom_site_type_symbol
_atom_site_fract_x
_atom_site_fract_y
_atom_site_fract_z
Pm1 Pm 0.0334 0.0000 0.3476
Pm2 Pm 0.1659 0.5000 0.8804
Pm3 Pm 0.2063 0.5000 0.3394
Tl1 Tl 0.0000 0.0000 0.0000
Ru1 Ru 0.1163 0.5000 0.5963
```

=====

Entry 3:
The following is a DFT calculation (PBE-GGA) of crystalline Pm12TlRu6 at its relaxed geometry.

Results
**Crystal system**: cubic
**Total moment**: 0.00 μB/atom
**N(E_F)**: 0.950 states/eV per atom
**Uncorrected energy**: -0.4599 Ry/atom

CIF file:
```
data_Pm12TlRu6
_chemical_formula_sum 'Pm24 Tl2 Ru12'
_cell_length_a 10.1073
_cell_length_b 10.1073
_cell_length_c 10.1073
_cell_angle_alpha 90.00
_cell_angle_beta 90.00
_cell_angle_gamma 90.00
_symmetry_space_group_name_H-M 'I m -3'
_symmetry_Int_Tables_number 204
_symmetry_space_group_name_Hall '-I 2 2 3'
loop_
_atom_site_label
_atom_site_type_symbol
_atom_site_fract_x
_atom_site_fract_y
_atom_site_fract_z
Pm1 Pm 0.0000 0.1963 0.2985
Tl1 Tl 0.0000 0.0000 0.0000
Ru1 Ru 0.0000 0.3786 0.5000
```

=====

Entry 4:
The following is a DFT calculation (PBE-GGA) of crystalline PmTmTlRu at its relaxed geometry.

Results
**Crystal system**: cubic
**Total moment**: 0.00 μB/atom
**N(E_F)**: 0.557 states/eV per atom
**Uncorrected energy**: -0.3992 Ry/atom

CIF file:
```
data_PmTmTlRu
_chemical_formula_sum 'Pm4 Tm4 Tl4 Ru4'
_cell_length_a 7.2376
_cell_length_b 7.2376
_cell_length_c 7.2376
_cell_angle_alpha 90.00
_cell_angle_beta 90.00
_cell_angle_gamma 90.00
_symmetry_space_group_name_H-M 'F -4 3 m'
_symmetry_Int_Tables_number 216
_symmetry_space_group_name_Hall 'F -4 2 3'
loop_
_atom_site_label
_atom_site_type_symbol
_atom_site_fract_x
_atom_site_fract_y
_atom_site_fract_z
Pm1 Pm 0.0000 0.0000 0.0000
Tm1 Tm 0.0000 0.0000 0.5000
Tl1 Tl 0.2500 0.2500 0.7500
Ru1 Ru 0.2500 0.2500 0.2500
```

=====

Entry 5:
The following is a DFT calculation (PBE-GGA) of crystalline PmTm3Ru2 at its relaxed geometry.

Results
**Crystal system**: tetragonal
**Total moment**: 0.00 μB/atom
**N(E_F)**: 0.752 states/eV per atom
**Uncorrected energy**: -0.4756 Ry/atom

CIF file:
```
data_PmTm3Ru2
_chemical_formula_sum 'Pm1 Tm3 Ru2'
_cell_length_a 3.3900
_cell_length_b 3.3900
_cell_length_c 12.2480
_cell_angle_alpha 90.00
_cell_angle_beta 90.00
_cell_angle_gamma 90.00
_symmetry_space_group_name_H-M 'P 4/m m m'
_symmetry_Int_Tables_number 123
_symmetry_space_group_name_Hall '-P 4 2'
loop_
_atom_site_label
_atom_site_type_symbol
_atom_site_fract_x
_atom_site_fract_y
_atom_site_fract_z
Pm1 Pm 0.0000 0.0000 0.0000
Tm1 Tm 0.5000 0.5000 0.2316
Tm2 Tm 0.5000 0.5000 0.5000
Ru1 Ru 0.0000 0.0000 0.3579
```

=====

Entry 6:
The following is a DFT calculation (PBE-GGA) of crystalline PmTm5Ru6 at its relaxed geometry.

Results
**Crystal system**: orthorhombic
**Total moment**: 0.00 μB/atom
**N(E_F)**: 1.059 states/eV per atom
**Uncorrected energy**: -0.5336 Ry/atom

CIF file:
```
data_PmTm5Ru6
_chemical_formula_sum 'Pm2 Tm10 Ru12'
_cell_length_a 4.7768
_cell_length_b 6.7611
_cell_length_c 14.2843
_cell_angle_alpha 90.00
_cell_angle_beta 90.00
_cell_angle_gamma 90.00
_symmetry_space_group_name_H-M 'I m m m'
_symmetry_Int_Tables_number 71
_symmetry_space_group_name_Hall '-I 2 2'
loop_
_atom_site_label
_atom_site_type_symbol
_atom_site_fract_x
_atom_site_fract_y
_atom_site_fract_z
Pm1 Pm 0.0000 0.0000 0.0000
Tm1 Tm 0.0000 0.0000 0.3335
Tm2 Tm 0.0000 0.5000 0.0000
Tm3 Tm 0.0000 0.5000 0.3309
Ru1 Ru 0.0000 0.2463 0.5000
Ru2 Ru 0.0000 0.2516 0.1680
```

=====

Entry 7:
The following is a DFT calculation (PBE-GGA) of crystalline PmTmRu at its relaxed geometry.

Results
**Crystal system**: monoclinic
**Total moment**: 0.00 μB/atom
**N(E_F)**: 0.614 states/eV per atom
**Uncorrected energy**: -0.4649 Ry/atom

CIF file:
```
data_PmTmRu
_chemical_formula_sum 'Pm4 Tm4 Ru4'
_cell_length_a 6.7500
_cell_length_b 6.7494
_cell_length_c 7.6598
_cell_angle_alpha 90.00
_cell_angle_beta 115.95
_cell_angle_gamma 90.00
_symmetry_space_group_name_H-M 'C 1 2/m 1'
_symmetry_Int_Tables_number 12
_symmetry_space_group_name_Hall '-C 2y'
loop_
_atom_site_label
_atom_site_type_symbol
_atom_site_fract_x
_atom_site_fract_y
_atom_site_fract_z
Pm1 Pm 0.2500 0.2500 0.0000
Tm1 Tm 0.0000 0.2504 0.5000
Ru1 Ru 0.1280 0.0000 0.2553
```

=====

Entry 8:
The following is a DFT calculation (PBE-GGA) of crystalline Pm2Tm3Ru2 at its relaxed geometry.

Results
**Crystal system**: monoclinic
**Total moment**: 0.00 μB/atom
**N(E_F)**: 0.640 states/eV per atom
**Uncorrected energy**: -0.4596 Ry/atom

CIF file:
```
data_Pm2Tm3Ru2
_chemical_formula_sum 'Pm4 Tm6 Ru4'
_cell_length_a 11.9966
_cell_length_b 3.8479
_cell_length_c 8.7230
_cell_angle_alpha 90.00
_cell_angle_beta 115.56
_cell_angle_gamma 90.00
_symmetry_space_group_name_H-M 'C 1 2/m 1'
_symmetry_Int_Tables_number 12
_symmetry_space_group_name_Hall '-C 2y'
loop_
_atom_site_label
_atom_site_type_symbol
_atom_site_fract_x
_atom_site_fract_y
_atom_site_fract_z
Pm1 Pm 0.1626 0.0000 0.3015
Tm1 Tm 0.0000 0.5000 0.5000
Tm2 Tm 0.1233 0.5000 0.9261
Ru1 Ru 0.1758 0.0000 0.7305
```